1.
The following is a DFT calculation (PBE) of crystalline Sr2SO4F2 at its relaxed geometry.

The total magnetization comes out at 0.00 μB/atom. The total energy is -51.54 eV per formula unit. For the formation energy (no corrections), the calculation gives -2.275 eV/atom. The volume comes out at 230 Å³ per cell.

The structure belongs to space group I4/mmm (No. 139); the cell edges are 5.561, 5.561 and 7.436 Å and the angles 90.00°, 90.00° and 90.00°. The asymmetric unit holds Sr at (0.000, 0.500, 0.250), S at (0.000, 0.000, 0.000), O at (0.204, 0.204, 0.000) and F at (0.000, 0.000, 0.262).


2.
The following is a DFT calculation (PBE) of crystalline SrSO2F at its relaxed geometry.

The total magnetization comes out at 0.37 μB/atom. The total energy is -18.72 eV per formula unit. For the formation energy (no corrections), the calculation gives -0.225 eV/atom. The volume comes out at 116 Å³ per cell.

The structure belongs to space group P4/mmm (No. 123); the cell edges are 5.018, 5.018 and 4.597 Å and the angles 90.00°, 90.00° and 90.00°. The asymmetric unit holds Sr at (0.000, 0.000, 0.000), S at (0.500, 0.500, 0.500), O at (0.000, 0.500, 0.000) and F at (0.000, 0.000, 0.500).


3.
The following is a DFT calculation (PBE) of crystalline TaSO2F at its relaxed geometry.

The total magnetization comes out at 0.51 μB/atom. The total energy is -26.00 eV per formula unit. For the formation energy (no corrections), the calculation gives 0.354 eV/atom. The volume comes out at 66 Å³ per cell.

The structure belongs to space group P4/mmm (No. 123); the cell edges are 3.585, 3.585 and 5.140 Å and the angles 90.00°, 90.00° and 90.00°. The asymmetric unit holds Ta at (0.000, 0.000, 0.000), S at (0.500, 0.500, 0.500), O at (0.000, 0.500, 0.500) and F at (0.500, 0.500, 0.000).


4.
The following is a DFT calculation (PBE) of crystalline TaSO2F at its relaxed geometry.

The total magnetization comes out at 0.41 μB/atom. The total energy is -35.29 eV per formula unit. For the formation energy (no corrections), the calculation gives -1.505 eV/atom. The volume comes out at 67 Å³ per cell.

The structure belongs to space group P4/mmm (No. 123); the cell edges are 3.972, 3.972 and 4.236 Å and the angles 90.00°, 90.00° and 90.00°. The asymmetric unit holds Ta at (0.000, 0.000, 0.000), S at (0.500, 0.500, 0.500), O at (0.000, 0.500, 0.000) and F at (0.000, 0.000, 0.500).


5.
The following is a DFT calculation (PBE) of crystalline TbS2O6F2 at its relaxed geometry.

The total magnetization comes out at 0.09 μB/atom. The total energy is -66.04 eV per formula unit. For the formation energy (no corrections), the calculation gives -1.788 eV/atom. The volume comes out at 173 Å³ per cell.

The structure belongs to space group P-3m1 (No. 164); the cell edges are 5.7580, 5.7580 and 6.0348 Å and the angles 90.00°, 90.00° and 120.00°. The asymmetric unit holds Tb at (0.0000, 0.0000, 0.0000), S at (0.3333, 0.6667, 0.7232), O at (0.1916, 0.3832, 0.7973) and F at (0.3333, 0.6667, 0.4248).


6.
The following is a DFT calculation (PBE) of crystalline TbSO4F2 at its relaxed geometry.

The total magnetization comes out at 0.13 μB/atom. The total energy is -50.60 eV per formula unit. For the formation energy (no corrections), the calculation gives -2.283 eV/atom. The volume comes out at 228 Å³ per cell.

The structure belongs to space group Pmn2_1 (No. 31); the cell edges are 5.766, 7.422 and 5.328 Å and the angles 90.00°, 90.00° and 90.00°. The asymmetric unit holds Tb at (0.000, 0.122, 0.000), S at (0.000, 0.577, 0.632), O at (0.000, 0.404, 0.764), O at (0.000, 0.551, 0.356), O at (0.207, 0.686, 0.702) and F at (0.243, 0.946, 0.212).